Here is a relaxed structure of CaLaTl from Alexandria. Energies are from GGA-PBE.

Calculated values
SG: No. 2
Energy above the lowest structure with this stoichiometry in eV/atom: 0.132
Energy of formation in meV per atom: -267
Energy in eV per atom: -3.365

a = 3.8172 Å, b = 6.4516 Å, c = 9.2621 Å
α = 106.85°, β = 101.87°, γ = 107.28°
Closest atoms and distances in Å follow each position.
Fractional positions:
Tl1 0.9376 0.1715 0.7521  5 Ca 3.36-3.61, 4 La 3.41-3.50
Tl2 0.4263 0.5862 0.3160  5 Ca 3.36-3.61, 4 La 3.40-3.49
La1 0.7844 0.6168 0.0015  1 La 3.20, 4 Tl 3.41-3.49
La2 0.5802 0.1411 0.0666  1 La 3.20, 4 Tl 3.40-3.50
Ca1 0.2329 0.0841 0.4303  5 Tl 3.36-3.61, 1 Ca 3.67
Ca2 0.1308 0.6737 0.6377  5 Tl 3.36-3.61, 1 Ca 3.67

Here is a relaxed structure of Ac2Pr2Ag3 from Alexandria. Energies are from GGA-PBE.

Calculated values
SG: No. 2
Energy of formation in meV per atom: -102
Energy in eV per atom: -3.863

a = 5.4754 Å, b = 5.4905 Å, c = 9.2515 Å
α = 89.94°, β = 106.96°, γ = 120.04°
Closest atoms and distances in Å follow each position.
Fractional positions:
Pr1 0.7476 0.8741 0.6190  5 Ag 3.10-3.33
Pr2 0.2524 0.1259 0.3810  5 Ag 3.10-3.33
Ag1 0.4924 0.2463 0.7364  4 Pr 3.10-3.33, 3 Ac 3.35
Ag2 0.5076 0.7537 0.2636  4 Pr 3.10-3.33, 3 Ac 3.35
Ag3 0.0000 0.0000 0.0000  2 Pr 3.32, 6 Ac 3.38-3.39
Ac1 0.7574 0.3784 0.1381  7 Ag 3.35-3.50
Ac2 0.2426 0.6216 0.8619  7 Ag 3.35-3.50

Here is a relaxed structure of Mg4In3Pb3 from Alexandria. Energies are from GGA-PBE.

Calculated values
SG: No. 38
Energy of formation in meV per atom: 11
Energy in eV per atom: -2.561

a = 3.5106 Å, b = 8.7302 Å, c = 8.7302 Å
α = 89.93°, β = 90.00°, γ = 90.00°
Closest atoms and distances in Å follow each position.
Fractional positions:
Pb1 0.5000 0.3244 0.3302  6 Mg 3.06-3.19
Pb2 0.5000 0.6698 0.6756  6 Mg 3.06-3.19
Pb3 0.5000 0.8285 0.1715  6 Mg 3.06-3.20
Mg1 0.0000 0.1300 0.1202  4 Pb 3.06-3.20, 1 Mg 3.09, 3 In 3.12-3.40
Mg2 0.0000 0.8798 0.8700  4 Pb 3.06-3.20, 1 Mg 3.09, 3 In 3.12-3.40
Mg3 0.0000 0.3684 0.6316  2 In 2.99, 1 Mg 3.17, 4 Pb 3.19
Mg4 0.0000 0.6257 0.3743  6 Pb 3.06-3.19, 1 Mg 3.17
In1 0.0000 0.5010 0.9995  4 Mg 3.40-3.49, 4 In 3.51-3.69, 6 Pb 3.64-3.71
In2 0.5000 0.1719 0.8281  6 Mg 2.99-3.12
In3 0.0000 0.0005 0.4990  4 Mg 3.40-3.49, 4 In 3.51-3.69, 6 Pb 3.64-3.71

Here is a relaxed structure of BiSO4F from Alexandria. Energies are from GGA-PBE.

Calculated values
Uncorrected formation energy in eV per atom: -1.5715
SG: No. 12
Energy in eV per atom: -5.816

a = 5.8565 Å, b = 5.8565 Å, c = 6.6237 Å
α = 77.18°, β = 77.18°, γ = 75.07°
Closest atoms and distances in Å follow each position.
Fractional positions:
O1 0.7568 0.7568 0.5121  1 S 1.47
O2 0.2432 0.2432 0.4879  1 S 1.47
O3 0.4958 0.4958 0.7249  1 S 1.45
O4 0.1474 0.4780 0.1510  1 S 1.52
O5 0.5220 0.8526 0.8490  1 S 1.52
O6 0.8526 0.5220 0.8490  1 S 1.52
O7 0.4780 0.1474 0.1510  1 S 1.52
O8 0.5042 0.5042 0.2751  1 S 1.45
Bi1 0.2080 0.2080 0.8619  2 F 2.24-2.31, 3 O 2.40-2.41
Bi2 0.7920 0.7920 0.1381  2 F 2.24-2.31, 3 O 2.40-2.41
F1 0.9768 0.9768 0.8218  2 Bi 2.24-2.31
F2 0.0232 0.0232 0.1782  2 Bi 2.24-2.31
S1 0.6523 0.6523 0.7254  4 O 1.45-1.52
S2 0.3477 0.3477 0.2746  4 O 1.45-1.52

What is the formula in the second record?
Ac2Pr2Ag3

Which of these has the lowest energy?
BiSO4F

Please write out number 1 again, unchanged.
Here is a relaxed structure of CaLaTl from Alexandria. Energies are from GGA-PBE.

Calculated values
SG: No. 2
Energy above the lowest structure with this stoichiometry in eV/atom: 0.132
Energy of formation in meV per atom: -267
Energy in eV per atom: -3.365

a = 3.8172 Å, b = 6.4516 Å, c = 9.2621 Å
α = 106.85°, β = 101.87°, γ = 107.28°
Closest atoms and distances in Å follow each position.
Fractional positions:
Tl1 0.9376 0.1715 0.7521  5 Ca 3.36-3.61, 4 La 3.41-3.50
Tl2 0.4263 0.5862 0.3160  5 Ca 3.36-3.61, 4 La 3.40-3.49
La1 0.7844 0.6168 0.0015  1 La 3.20, 4 Tl 3.41-3.49
La2 0.5802 0.1411 0.0666  1 La 3.20, 4 Tl 3.40-3.50
Ca1 0.2329 0.0841 0.4303  5 Tl 3.36-3.61, 1 Ca 3.67
Ca2 0.1308 0.6737 0.6377  5 Tl 3.36-3.61, 1 Ca 3.67